The following is a PBE calculation of a geometry-optimized In3CuI structure, from the Alexandria database.

Computed properties:
formation energy (no corrections) = -0.076 eV/atom
total magnetic moment = 0.0 μB/f.u.
energy above the most stable polymorph in this dataset = 0 kJ/mol of formula units
space group = Pm-3m (221)
calculated total energy = -0.2094 Ry/atom

Cell lengths 5.263, 5.263, 5.263 Å; angles 90.00, 90.00, 90.00 degrees
Element x y z (fractional)
In 0.500 0.000 0.000
In 0.000 0.500 0.000
In 0.000 0.000 0.500
I 0.500 0.500 0.500
Cu 0.000 0.000 0.000